Record 1
DFT (PBE) results for a relaxed structure of MgSiS2N.

Computed properties:
M_tot: 0.000 Bohr magnetons per cell
calculated volume: 91 Å³ per cell
total DFT energy (no corrections): -3.815 eV per atom
Fermi-level density of states: 0.442 states/eV per atom

abc: 4.852 4.852 3.853
angles: 90.00 90.00 90.00
Sites, in units of the cell vectors:
Mg 0.000 0.000 0.000
Si 0.500 0.500 0.500
S 0.000 0.500 0.000
S 0.500 0.000 0.000
N 0.000 0.000 0.500

---

Record 2
DFT (PBE) results for a relaxed structure of Li3IrC.

Computed properties:
M_tot: 2.000 Bohr magnetons per cell
calculated volume: 106 Å³ per cell
total DFT energy (no corrections): -3.096 eV per atom
Fermi-level density of states: 1.252 states/eV per atom
energy relative to the elements: 1.67 eV per atom

abc: 4.736 4.736 4.736
angles: 90.00 90.00 90.00
Sites, in units of the cell vectors:
Li 0.000 0.000 0.500
Li 0.000 0.500 0.000
Li 0.500 0.000 0.000
Ir 0.000 0.000 0.000
C 0.500 0.500 0.500

---

Record 3
DFT (PBE) results for a relaxed structure of SmSc3S4.

Computed properties:
M_tot: 0.000 Bohr magnetons per cell
calculated volume: 152 Å³ per cell
total DFT energy (no corrections): -6.922 eV per atom
Fermi-level density of states: 0.541 states/eV per atom

abc: 12.639 12.639 12.639
angles: 17.07 17.07 17.07
Sites, in units of the cell vectors:
Sm 0.000 0.000 0.000
Sc 0.247 0.247 0.247
Sc 0.500 0.500 0.500
Sc 0.753 0.753 0.753
S 0.127 0.127 0.127
S 0.382 0.382 0.382
S 0.618 0.618 0.618
S 0.873 0.873 0.873